[1]
Density functional theory data (GGA-PBE) for HfIn2Pt2 after structural relaxation.

Computed properties:
- symmetry = I4/mmm
- electronic total energy (eV per atom) = -5.578
- ΔE_f (eV/atom) = -0.076
- polymorph energy (0 for the lowest one) (eV per formula unit) = 2.03

a = 4.060 Å, b = 4.060 Å, c = 6.816 Å
α = 72.67°, β = 72.67°, γ = 90.00°
Element x y z (fractional)
Hf 0.000 0.000 0.000
Pt 0.750 0.250 0.500
Pt 0.250 0.750 0.500
In 0.391 0.391 0.218
In 0.609 0.609 0.782

[2]
Density functional theory data (GGA-PBE) for K2HgAsS4 after structural relaxation.

Computed properties:
- symmetry = Fddd
- formation energy from raw total energies (meV per atom) = -442
- electronic total energy (eV per atom) = -3.399

a = 6.361 Å, b = 7.516 Å, c = 11.881 Å
α = 83.50°, β = 74.47°, γ = 64.96°
Element x y z (fractional)
K 0.184 0.000 0.633
K 0.816 0.000 0.367
K 0.566 0.500 0.867
K 0.934 0.500 0.133
Hg 0.750 0.500 0.500
Hg 0.000 0.000 0.000
As 0.250 0.500 0.500
As 0.500 0.000 0.000
S 0.332 0.791 0.108
S 0.231 0.209 0.892
S 0.877 0.791 0.892
S 0.560 0.209 0.108
S 0.418 0.709 0.392
S 0.519 0.291 0.608
S 0.873 0.709 0.608
S 0.190 0.291 0.392

[3]
Density functional theory data (GGA-PBE) for MnCr2Re after structural relaxation.

Computed properties:
- symmetry = R3m
- electronic total energy (eV per atom) = -9.930
- ΔE_f (eV/atom) = 0.286

a = 8.438 Å, b = 8.438 Å, c = 8.438 Å
α = 18.06°, β = 18.06°, γ = 18.06°
Element x y z (fractional)
Cr 0.996 0.996 0.996
Cr 0.248 0.248 0.248
Mn 0.505 0.505 0.505
Re 0.751 0.751 0.751

[4]
Density functional theory data (GGA-PBE) for OsPbSCl2 after structural relaxation.

Computed properties:
- symmetry = P4/mmm
- formation energy from raw total energies (meV per atom) = 90
- electronic total energy (eV per atom) = -4.461
- polymorph energy (0 for the lowest one) (eV per formula unit) = 0.00

a = 5.152 Å, b = 5.152 Å, c = 4.464 Å
α = 90.00°, β = 90.00°, γ = 90.00°
Element x y z (fractional)
Pb 0.500 0.500 0.500
S 0.000 0.000 0.500
Os 0.000 0.000 0.000
Cl 0.000 0.500 0.000
Cl 0.500 0.000 0.000

[5]
Density functional theory data (GGA-PBE) for Rb7NaHg2 after structural relaxation.

Computed properties:
- symmetry = I4/mmm
- electronic total energy (eV per atom) = -0.935
- ΔE_f (eV/atom) = -0.065

a = 6.445 Å, b = 6.445 Å, c = 16.144 Å
α = 101.51°, β = 101.51°, γ = 90.00°
Element x y z (fractional)
Rb 0.108 0.608 0.217
Rb 0.392 0.892 0.783
Rb 0.608 0.108 0.217
Rb 0.500 0.500 0.000
Rb 0.750 0.250 0.500
Rb 0.892 0.392 0.783
Rb 0.250 0.750 0.500
Na 0.000 0.000 0.000
Hg 0.676 0.676 0.351
Hg 0.324 0.324 0.649

[6]
Density functional theory data (GGA-PBE) for Nd2ScSi4Pt3 after structural relaxation.

Computed properties:
- symmetry = P-4m2
- formation energy from raw total energies (meV per atom) = -1052
- electronic total energy (eV per atom) = -6.620

a = 4.223 Å, b = 4.223 Å, c = 10.596 Å
α = 90.00°, β = 90.00°, γ = 90.00°
Element x y z (fractional)
Nd 0.500 0.000 0.237
Nd 0.000 0.500 0.763
Sc 0.500 0.500 0.500
Si 0.500 0.500 0.000
Si 0.000 0.000 0.000
Si 0.500 0.000 0.653
Si 0.000 0.500 0.347
Pt 0.000 0.000 0.500
Pt 0.500 0.000 0.885
Pt 0.000 0.500 0.115

[7]
Density functional theory data (GGA-PBE) for NdDy6Y4 after structural relaxation.

Computed properties:
- symmetry = I-42m
- electronic total energy (eV per atom) = -4.969
- ΔE_f (eV/atom) = 0.325
- polymorph energy (0 for the lowest one) (eV per formula unit) = 0.17

a = 6.586 Å, b = 6.586 Å, c = 9.767 Å
α = 109.70°, β = 109.70°, γ = 90.00°
Element x y z (fractional)
Nd 0.500 0.500 0.000
Dy 0.857 0.486 0.343
Dy 0.486 0.857 0.343
Dy 0.514 0.514 0.657
Dy 0.000 0.500 0.000
Dy 0.143 0.143 0.657
Dy 0.500 0.000 0.000
Y 0.046 0.687 0.733
Y 0.954 0.954 0.267
Y 0.687 0.046 0.733
Y 0.313 0.313 0.267

[8]
Density functional theory data (GGA-PBE) for PdCSe2N after structural relaxation.

Computed properties:
- symmetry = P4/mmm
- formation energy from raw total energies (meV per atom) = 2067
- electronic total energy (eV per atom) = -3.875
- polymorph energy (0 for the lowest one) (eV per formula unit) = 6.46

a = 5.094 Å, b = 5.094 Å, c = 3.668 Å
α = 90.00°, β = 90.00°, γ = 90.00°
Element x y z (fractional)
C 0.500 0.500 0.500
Se 0.000 0.500 0.000
Se 0.500 0.000 0.000
Pd 0.000 0.000 0.000
N 0.000 0.000 0.500

[9]
Density functional theory data (GGA-PBE) for Mg2ZrHg after structural relaxation.

Computed properties:
- symmetry = Cmmm
- electronic total energy (eV per atom) = -3.019
- ΔE_f (eV/atom) = -0.009

a = 5.645 Å, b = 5.645 Å, c = 3.036 Å
α = 90.00°, β = 90.00°, γ = 112.95°
Element x y z (fractional)
Hg 0.000 0.500 0.500
Mg 0.000 0.000 0.000
Mg 0.500 0.500 0.000
Zr 0.500 0.000 0.500

[10]
Density functional theory data (GGA-PBE) for PmBeAg after structural relaxation.

Computed properties:
- symmetry = Cmce
- electronic total energy (eV per atom) = -3.806
- ΔE_f (eV/atom) = -0.030

a = 5.761 Å, b = 6.694 Å, c = 6.979 Å
α = 90.00°, β = 90.00°, γ = 115.49°
Element x y z (fractional)
Be 0.585 0.171 0.534
Be 0.915 0.829 0.034
Be 0.415 0.829 0.466
Be 0.085 0.171 0.966
Ag 0.297 0.094 0.250
Ag 0.203 0.906 0.750
Ag 0.703 0.906 0.750
Ag 0.797 0.094 0.250
Pm 0.820 0.640 0.420
Pm 0.680 0.360 0.920
Pm 0.180 0.360 0.580
Pm 0.320 0.640 0.080

[11]
Density functional theory data (GGA-PBE) for ErTm4Bi2 after structural relaxation.

Computed properties:
- symmetry = I4/mmm
- electronic total energy (eV per atom) = -3.931
- ΔE_f (eV/atom) = 0.385

a = 5.287 Å, b = 5.287 Å, c = 9.054 Å
α = 106.97°, β = 106.97°, γ = 90.00°
Element x y z (fractional)
Er 0.000 0.000 0.000
Tm 0.820 0.820 0.639
Tm 0.180 0.180 0.361
Tm 0.000 0.500 0.000
Tm 0.500 0.000 0.000
Bi 0.635 0.635 0.269
Bi 0.365 0.365 0.731

[12]
Density functional theory data (GGA-PBE) for ZrInMo2 after structural relaxation.

Computed properties:
- symmetry = I-42d
- electronic total energy (eV per atom) = -7.387
- ΔE_f (eV/atom) = 0.850

a = 7.541 Å, b = 7.541 Å, c = 6.039 Å
α = 51.36°, β = 51.36°, γ = 90.00°
Element x y z (fractional)
Mo 0.629 0.125 0.250
Mo 0.121 0.625 0.250
Mo 0.375 0.371 0.750
Mo 0.875 0.879 0.750
Zr 0.500 0.500 0.000
Zr 0.250 0.750 0.500
In 0.000 0.000 0.000
In 0.750 0.250 0.500